No. 1
The following is a DFT calculation (meta-GGA SCAN) of a crystal of MnZn5 relaxed with PBEsol.

- E_form: -0.056 eV/atom
- Energy: -14.36 eV/atom
- Density: 7.9 g/cm³

a b c (Å): 5.1364 5.1364 6.3596
angles (deg): 104.42 104.42 29.86
Closest atoms and distances in Å follow each position.
Atoms (fractional coordinates):
Mn  0.0000  0.0000  0.0000  10 Zn 2.61-2.70, 2 Mn 2.65
Zn  0.0555  0.0555  0.6182  1 Mn 2.62, 11 Zn 2.65-2.72
Zn  0.3353  0.3353  0.6706  10 Zn 2.65-2.75, 2 Mn 2.65
Zn  0.3923  0.3923  0.2703  2 Mn 2.61, 10 Zn 2.64-2.75
Zn  0.6651  0.6651  0.3310  10 Zn 2.63-2.73, 2 Mn 2.66
Zn  0.7209  0.7209  0.9485  9 Zn 2.63-2.68, 3 Mn 2.65-2.70

No. 2
The following is a DFT calculation (meta-GGA SCAN) of a crystal of MnZn3 relaxed with PBEsol.

- E_form: -0.042 eV/atom
- Energy: -14.74 eV/atom
- Density: 8.0 g/cm³

a b c (Å): 4.9343 4.9343 4.9343
angles (deg): 117.06 117.06 117.06
Closest atoms and distances in Å follow each position.
Atoms (fractional coordinates):
Mn  0.0000  0.0000  0.0000  2 Mn 2.56, 6 Zn 2.58
Zn  0.0000  0.5000  0.5000  6 Zn 2.56-2.58, 2 Mn 2.58
Zn  0.5000  0.0000  0.5000  6 Zn 2.56-2.58, 2 Mn 2.58
Zn  0.5000  0.5000  0.0000  6 Zn 2.56-2.58, 2 Mn 2.58

No. 3
The following is a DFT calculation (meta-GGA SCAN) of a crystal of MnZn3 relaxed with PBEsol.

- E_form: -0.068 eV/atom
- Energy: -14.77 eV/atom
- Density: 7.8 g/cm³

a b c (Å): 2.6530 4.5682 4.6898
angles (deg): 100.55 90.08 106.76
Closest atoms and distances in Å follow each position.
Atoms (fractional coordinates):
Mn  0.0000  0.0000  0.0000  10 Zn 2.63-2.70, 2 Mn 2.65
Zn  0.2498  0.4996  0.7555  3 Mn 2.63-2.66, 9 Zn 2.64-2.74
Zn  0.5000  0.0000  0.5000  8 Zn 2.64-2.69, 4 Mn 2.69-2.70
Zn  0.7502  0.5004  0.2445  3 Mn 2.63-2.66, 9 Zn 2.64-2.74

No. 4
The following is a DFT calculation (meta-GGA SCAN) of a crystal of MnZn3 relaxed with PBEsol.

- E_form: -0.009 eV/atom
- Energy: -14.71 eV/atom
- Density: 8.0 g/cm³

a b c (Å): 2.6450 2.6450 8.6037
angles (deg): 90.00 90.00 120.00
Closest atoms and distances in Å follow each position.
Atoms (fractional coordinates):
Mn  0.0000  0.0000  0.0000  6 Zn 2.57, 6 Mn 2.64
Zn  0.0000  0.0000  0.5000  12 Zn 2.64-2.70
Zn  0.6667  0.3333  0.2406  3 Mn 2.57, 9 Zn 2.64-2.70
Zn  0.6667  0.3333  0.7594  3 Mn 2.57, 9 Zn 2.64-2.70

No. 5
The following is a DFT calculation (meta-GGA SCAN) of a crystal of MnZn3 relaxed with PBEsol.

- E_form: -0.064 eV/atom
- Energy: -14.76 eV/atom
- Density: 7.9 g/cm³

a b c (Å): 5.0823 5.0823 5.0823
angles (deg): 150.24 63.58 125.22
Closest atoms and distances in Å follow each position.
Atoms (fractional coordinates):
Mn  0.0000  0.0000  0.0000  2 Mn 2.61, 10 Zn 2.63-2.69
Zn  0.4230  0.6764  0.7466  9 Zn 2.61-2.68, 3 Mn 2.63-2.66
Zn  0.5022  0.0022  0.5000  8 Zn 2.61-2.68, 4 Mn 2.67-2.69
Zn  0.9299  0.6764  0.2534  9 Zn 2.61-2.68, 3 Mn 2.63-2.66

No. 6
The following is a DFT calculation (meta-GGA SCAN) of a crystal of MnZn5 relaxed with PBEsol.

- E_form: -0.049 eV/atom
- Energy: -14.35 eV/atom
- Density: 7.8 g/cm³

a b c (Å): 2.7325 2.7325 10.8802
angles (deg): 90.00 90.00 90.00
Closest atoms and distances in Å follow each position.
Atoms (fractional coordinates):
Mn  0.0000  0.0000  0.0000  8 Zn 2.59, 4 Mn 2.73
Zn  0.0000  0.0000  0.3306  12 Zn 2.67-2.73
Zn  0.0000  0.0000  0.6694  12 Zn 2.67-2.73
Zn  0.5000  0.5000  0.1588  4 Mn 2.59, 8 Zn 2.69-2.73
Zn  0.5000  0.5000  0.5000  12 Zn 2.67-2.73
Zn  0.5000  0.5000  0.8412  4 Mn 2.59, 8 Zn 2.69-2.73